## NaMg2Pb (PBE)

Data for a relaxed structure of NaMg2Pb.

Cell and atoms, written as extended XYZ:
```
4
Lattice="-0.148 -4.434 -1.109 -0.156 -1.138 4.572 -4.709 0.186 -0.115" Properties=species:S:1:pos:R:3 pbc="T T T"
Pb -2.507 -2.693 1.674
Na -0.074 -2.217 -0.554
Mg -2.355 0.093 -0.057
Mg -0.078 -0.569 2.286
```

Results
Its formation energy from the elements is -0.04 eV/atom. The theoretical density is 4.6 Mg/m³. As for the size of the total moment: 0.000 μB/atom. Its volume is 101.65 Å³/f.u.

## NaMg7Pb4 (PBE)

Data for a relaxed structure of NaMg7Pb4.

Cell and atoms, written as extended XYZ:
```
12
Lattice="-1.119 -4.267 3.658 -5.118 -6.514 -4.675 5.062 -4.939 0.276" Properties=species:S:1:pos:R:3 pbc="T T T"
Na 0.000 0.000 0.000
Mg -2.800 -11.819 -1.178
Mg 1.626 -3.900 0.437
Mg -2.443 -5.547 -2.729
Mg 1.270 -10.172 1.988
Mg 0.436 -8.810 -1.166
Mg -0.559 -2.133 1.829
Mg -1.610 -6.909 0.425
Pb 1.381 -7.020 1.211
Pb -2.554 -8.699 -1.951
Pb 0.122 -11.825 -0.290
Pb -1.296 -3.894 -0.450
```

Results
Its formation energy from the elements is 0.08 eV/atom. The theoretical density is 5.1 Mg/m³. As for the size of the total moment: 0.000 μB/atom. Its volume is 335.85 Å³/f.u.

## NaMg4Pb8 (PBE)

Data for a relaxed structure of NaMg4Pb8.

Cell and atoms, written as extended XYZ:
```
13
Lattice="-2.382 9.260 1.887 -9.179 2.290 2.343 -2.174 2.714 9.105" Properties=species:S:1:pos:R:3 pbc="T T T"
Na -10.302 10.699 10.001
Mg -6.343 9.972 5.946
Mg -9.733 6.496 6.173
Mg -6.239 6.708 9.546
Mg -5.155 5.354 5.005
Pb -3.077 5.498 2.843
Pb -5.383 3.133 2.997
Pb -3.006 3.277 5.292
Pb -2.269 2.356 2.203
Pb -7.230 5.169 7.166
Pb -4.887 7.572 7.009
Pb -7.302 7.426 4.677
Pb -8.052 8.362 7.817
```

Results
Its formation energy from the elements is 0.20 eV/atom. The theoretical density is 4.5 Mg/m³. As for the size of the total moment: 0.001 μB/atom. The energy above the most stable polymorph in this dataset comes out at 238 meV/atom. Its volume is 654.68 Å³/f.u.

## NaMgPb4 (PBE)

Data for a relaxed structure of NaMgPb4.

Cell and atoms, written as extended XYZ:
```
6
Lattice="-1.232 -0.723 -3.250 -1.379 -3.043 1.200 -11.782 6.526 3.015" Properties=species:S:1:pos:R:3 pbc="T T T"
Na -7.197 1.380 0.482
Mg 0.000 0.000 0.000
Pb -9.264 1.326 3.217
Pb -11.281 3.642 1.528
Pb -3.112 -0.883 -0.563
Pb -3.898 2.157 0.998
```

Results
Its formation energy from the elements is -0.04 eV/atom. The theoretical density is 8.4 Mg/m³. As for the size of the total moment: 0.000 μB/atom. The energy above the most stable polymorph in this dataset comes out at 0 meV/atom. Its volume is 173.92 Å³/f.u.

## NaMg5Pb8 (PBE)

Data for a relaxed structure of NaMg5Pb8.

Cell and atoms, written as extended XYZ:
```
14
Lattice="-7.214 1.647 3.304 0.377 -8.049 -0.859 6.418 2.164 4.449" Properties=species:S:1:pos:R:3 pbc="T T T"
Na 3.199 -1.990 3.733
Mg 0.364 -2.067 -0.047
Mg -5.100 -5.649 3.354
Mg -0.602 -3.035 5.183
Mg -0.398 1.905 3.877
Mg 4.502 2.274 5.298
Pb -0.171 -5.116 -0.012
Pb -2.852 2.478 5.852
Pb -2.977 -0.290 3.833
Pb 1.475 -0.067 5.896
Pb -2.034 -3.498 2.368
Pb 2.023 -4.747 5.050
Pb 0.163 -1.092 2.899
Pb 2.699 -4.622 1.691
```

Results
Its formation energy from the elements is -0.02 eV/atom. The theoretical density is 7.4 Mg/m³. As for the size of the total moment: 0.000 μB/atom. Its volume is 406.45 Å³/f.u.

## NaMgPb (PBE)

Data for a relaxed structure of NaMgPb.

Cell and atoms, written as extended XYZ:
```
3
Lattice="3.994 0.000 0.000 0.000 3.994 0.000 -1.997 -1.997 5.113" Properties=species:S:1:pos:R:3 pbc="T T T"
Pb 1.997 1.997 4.528
Na 1.997 1.997 1.185
Mg 0.000 0.000 2.979
```

Results
Its formation energy from the elements is -0.06 eV/atom. The theoretical density is 5.2 Mg/m³. As for the size of the total moment: 0.000 μB/atom. The energy above the most stable polymorph in this dataset comes out at 73 meV/atom. Its volume is 81.58 Å³/f.u.

## Na5Mg2Pb4 (PBE)

Data for a relaxed structure of Na5Mg2Pb4.

Cell and atoms, written as extended XYZ:
```
11
Lattice="-2.237 2.633 0.965 -0.922 -3.827 8.304 9.674 6.201 -1.153" Properties=species:S:1:pos:R:3 pbc="T T T"
Na 2.358 0.916 2.968
Na 4.157 4.090 5.147
Na 1.850 -1.192 7.542
Na -1.119 1.316 0.482
Na 4.664 6.198 0.574
Mg -0.188 0.366 5.233
Mg 6.703 4.640 2.883
Pb 2.110 1.957 6.221
Pb -0.280 -1.164 2.525
Pb 4.404 3.049 1.894
Pb -0.642 -2.663 5.778
```

Results
Its formation energy from the elements is -0.08 eV/atom. The theoretical density is 4.8 Mg/m³. As for the size of the total moment: 0.000 μB/atom. Its volume is 344.21 Å³/f.u.

## Na3MgPb2 (PBE)

Data for a relaxed structure of Na3MgPb2.

Cell and atoms, written as extended XYZ:
```
6
Lattice="-3.002 2.467 -3.184 -3.899 -3.497 0.966 -0.110 5.353 4.252" Properties=species:S:1:pos:R:3 pbc="T T T"
Na -2.667 -0.493 2.133
Na -1.342 2.348 3.085
Na -3.451 -0.515 -1.109
Mg 0.000 0.000 0.000
Pb -4.873 1.974 2.162
Pb -2.138 2.349 -0.127
```

Results
Its formation energy from the elements is -0.11 eV/atom. The theoretical density is 5.0 Mg/m³. As for the size of the total moment: 0.000 μB/atom. Its volume is 168.50 Å³/f.u.

## NaMgPb2 (PBE)

Data for a relaxed structure of NaMgPb2.

Cell and atoms, written as extended XYZ:
```
4
Lattice="3.769 0.000 0.000 0.000 3.769 0.000 0.000 0.000 7.765" Properties=species:S:1:pos:R:3 pbc="T T T"
Pb 0.000 0.000 6.001
Pb 0.000 0.000 1.764
Na 1.884 1.884 3.883
Mg 1.884 1.884 0.000
```

Results
Its formation energy from the elements is -0.14 eV/atom. The theoretical density is 7.0 Mg/m³. As for the size of the total moment: 0.000 μB/atom. Its volume is 110.29 Å³/f.u.

## NaMg3Pb (PBE)

Data for a relaxed structure of NaMg3Pb.

Cell and atoms, written as extended XYZ:
```
5
Lattice="-1.946 4.467 -2.786 -5.241 -1.925 0.575 -0.498 2.801 4.839" Properties=species:S:1:pos:R:3 pbc="T T T"
Pb 0.000 0.000 0.000
Na -3.843 2.672 1.314
Mg -2.621 -0.962 0.287
Mg -0.249 1.400 2.419
Mg -0.973 2.234 -1.393
```

Results
Its formation energy from the elements is 0.32 eV/atom. The theoretical density is 2.8 Mg/m³. As for the size of the total moment: 0.000 μB/atom. The energy above the most stable polymorph in this dataset comes out at 0 meV/atom. Its volume is 176.86 Å³/f.u.

## Na8MgPb2 (PBE)

Data for a relaxed structure of Na8MgPb2.

Cell and atoms, written as extended XYZ:
```
11
Lattice="5.414 0.318 0.264 0.542 8.696 -0.659 0.542 0.942 8.670" Properties=species:S:1:pos:R:3 pbc="T T T"
Na 4.598 2.055 5.674
Na 1.900 4.002 7.293
Na 4.902 2.776 2.307
Na 1.597 7.180 5.968
Na 4.598 5.954 0.983
Na 1.900 7.902 2.601
Na 1.990 4.086 3.396
Na 4.508 5.870 4.879
Mg 0.000 0.000 0.000
Pb 2.365 1.393 1.158
Pb 4.134 8.563 7.117
```

Results
Its formation energy from the elements is 0.04 eV/atom. The theoretical density is 2.5 Mg/m³. As for the size of the total moment: 0.000 μB/atom. The energy above the most stable polymorph in this dataset comes out at 34 meV/atom. Its volume is 408.83 Å³/f.u.